Record 1
# AcSmSe2 | Alexandria via LeMat-Bulk | PBE | optimized geometry
# **E_tot**: -5.536 eV/atom
# **Magnetic moment**: 0.0 μB per cell
# **E_form (uncorrected)**: -1.587 eV/atom
# **D(E_F)**: 3.30 states/eV/f.u.
# **Density**: 8496 kg/m³
data_AcSmSe2
_chemical_formula_sum 'Ac1 Sm1 Se2'
_cell_length_a 5.281
_cell_length_b 5.281
_cell_length_c 3.751
_cell_angle_alpha 90.00
_cell_angle_beta 90.00
_cell_angle_gamma 90.00
_space_group_name_H-M_alt 'P 4/m m m'
_space_group_IT_number 123
_space_group_name_Hall '-P 4 2'
loop_
_atom_site_label
_atom_site_fract_x
_atom_site_fract_y
_atom_site_fract_z
Ac1 0.000 0.000 0.000
Sm1 0.500 0.500 0.000
Se1 0.000 0.500 0.500

Record 2
# Ac4SmSe6 | Alexandria via LeMat-Bulk | PBE | optimized geometry
# **E_tot**: -5.666 eV/atom
# **Magnetic moment**: 0.0 μB per cell
# **E_form (uncorrected)**: -1.842 eV/atom
# **D(E_F)**: 5.59 states/eV/f.u.
# **Density**: 7709 kg/m³
data_Ac4SmSe6
_chemical_formula_sum 'Ac24 Sm6 Se36'
_cell_length_a 12.3606
_cell_length_b 12.3606
_cell_length_c 14.9660
_cell_angle_alpha 90.00
_cell_angle_beta 90.00
_cell_angle_gamma 120.00
_space_group_name_H-M_alt 'R -3 c'
_space_group_IT_number 167
_space_group_name_Hall '-R 3 2"c'
loop_
_atom_site_label
_atom_site_fract_x
_atom_site_fract_y
_atom_site_fract_z
Ac1 0.0000 0.0000 0.2500
Ac2 0.0000 0.3813 0.2500
Sm1 0.0000 0.0000 0.0000
Se1 0.0287 0.2025 0.3878

Record 3
# Ac2SmSe | Alexandria via LeMat-Bulk | PBE | optimized geometry
# **E_tot**: -4.846 eV/atom
# **Magnetic moment**: 0.0 μB per cell
# **E_form (uncorrected)**: -0.741 eV/atom
# **D(E_F)**: 4.76 states/eV/f.u.
# **Density**: 7504 kg/m³
data_Ac2SmSe
_chemical_formula_sum 'Ac6 Sm3 Se3'
_cell_length_a 4.0861
_cell_length_b 4.0861
_cell_length_c 31.3728
_cell_angle_alpha 90.00
_cell_angle_beta 90.00
_cell_angle_gamma 120.00
_space_group_name_H-M_alt 'R -3 m'
_space_group_IT_number 166
_space_group_name_Hall '-R 3 2"'
loop_
_atom_site_label
_atom_site_fract_x
_atom_site_fract_y
_atom_site_fract_z
Ac1 0.0000 0.0000 0.2349
Sm1 0.0000 0.0000 0.0000
Se1 0.0000 0.0000 0.5000

Record 4
# SrAc4Sm3Se8 | Alexandria via LeMat-Bulk | PBE | optimized geometry
# **E_tot**: -5.607 eV/atom
# **Magnetic moment**: 0.0 μB per cell
# **E_form (uncorrected)**: -1.848 eV/atom
# **D(E_F)**: 8.86 states/eV/f.u.
# **Density**: 7424 kg/m³
data_SrAc4Sm3Se8
_chemical_formula_sum 'Sr3 Ac12 Sm9 Se24'
_cell_length_a 8.6757
_cell_length_b 8.6757
_cell_length_c 21.3951
_cell_angle_alpha 90.00
_cell_angle_beta 90.00
_cell_angle_gamma 120.00
_space_group_name_H-M_alt 'R -3 m'
_space_group_IT_number 166
_space_group_name_Hall '-R 3 2"'
loop_
_atom_site_label
_atom_site_fract_x
_atom_site_fract_y
_atom_site_fract_z
Sr1 0.0000 0.0000 0.0000
Ac1 0.0000 0.0000 0.5000
Ac2 0.0000 0.5000 0.5000
Sm1 0.0000 0.5000 0.0000
Se1 0.0000 0.0000 0.2566
Se2 0.0047 0.5023 0.2555

Record 5
# Sr3Ac3SmSe8 | Alexandria via LeMat-Bulk | PBE | optimized geometry
# **E_tot**: -5.293 eV/atom
# **Magnetic moment**: 0.0 μB per cell
# **E_form (uncorrected)**: -1.962 eV/atom
# **D(E_F)**: 5.35 states/eV/f.u.
# **Density**: 5814 kg/m³
data_Sr3Ac3SmSe8
_chemical_formula_sum 'Sr9 Ac9 Sm3 Se24'
_cell_length_a 8.8508
_cell_length_b 8.8508
_cell_length_c 21.8006
_cell_angle_alpha 90.00
_cell_angle_beta 90.00
_cell_angle_gamma 120.00
_space_group_name_H-M_alt 'R -3 m'
_space_group_IT_number 166
_space_group_name_Hall '-R 3 2"'
loop_
_atom_site_label
_atom_site_fract_x
_atom_site_fract_y
_atom_site_fract_z
Sr1 0.0000 0.5000 0.0000
Ac1 0.0000 0.5000 0.5000
Sm1 0.0000 0.0000 0.5000
Se1 0.0000 0.0000 0.2514
Se2 0.0158 0.5079 0.2458

Record 6
# AcTb3Sm2Se6 | Alexandria via LeMat-Bulk | PBE | optimized geometry
# **E_tot**: -5.820 eV/atom
# **Magnetic moment**: 0.0 μB per cell
# **E_form (uncorrected)**: -1.792 eV/atom
# **D(E_F)**: 5.88 states/eV/f.u.
# **Density**: 7894 kg/m³
data_AcTb3Sm2Se6
_chemical_formula_sum 'Ac2 Tb6 Sm4 Se12'
_cell_length_a 7.187
_cell_length_b 12.515
_cell_length_c 7.325
_cell_angle_alpha 90.00
_cell_angle_beta 109.28
_cell_angle_gamma 90.00
_space_group_name_H-M_alt 'C 1 2/m 1'
_space_group_IT_number 12
_space_group_name_Hall '-C 2y'
loop_
_atom_site_label
_atom_site_fract_x
_atom_site_fract_y
_atom_site_fract_z
Ac1 0.000 0.000 0.000
Tb1 0.000 0.162 0.500
Tb2 0.000 0.500 0.500
Sm1 0.000 0.332 0.000
Se1 0.239 0.328 0.734
Se2 0.242 0.500 0.260

Record 7
# AcTbSm4Se8 | Alexandria via LeMat-Bulk | PBE | optimized geometry
# **E_tot**: -5.698 eV/atom
# **Magnetic moment**: 0.0 μB per cell
# **E_form (uncorrected)**: -1.734 eV/atom
# **D(E_F)**: 9.34 states/eV/f.u.
# **Density**: 5838 kg/m³
data_AcTbSm4Se8
_chemical_formula_sum 'Ac3 Tb3 Sm12 Se24'
_cell_length_a 8.6819
_cell_length_b 8.6819
_cell_length_c 21.1648
_cell_angle_alpha 90.00
_cell_angle_beta 90.00
_cell_angle_gamma 120.00
_space_group_name_H-M_alt 'R 3 m'
_space_group_IT_number 160
_space_group_name_Hall 'R 3 -2"'
loop_
_atom_site_label
_atom_site_fract_x
_atom_site_fract_y
_atom_site_fract_z
Ac1 0.0000 0.0000 0.0000
Tb1 0.0000 0.0000 0.6228
Sm1 0.0000 0.0000 0.2485
Sm2 0.0066 0.5033 0.1253
Se1 0.0000 0.0000 0.3803
Se2 0.0000 0.0000 0.8614
Se3 0.0381 0.5191 0.3778
Se4 0.1774 0.3548 0.2076

Record 8
# AcTb2SmSe4 | Alexandria via LeMat-Bulk | PBE | optimized geometry
# **E_tot**: -5.792 eV/atom
# **Magnetic moment**: 0.0 μB per cell
# **E_form (uncorrected)**: -1.789 eV/atom
# **D(E_F)**: 4.24 states/eV/f.u.
# **Density**: 7947 kg/m³
data_AcTb2SmSe4
_chemical_formula_sum 'Ac1 Tb2 Sm1 Se4'
_cell_length_a 7.215
_cell_length_b 4.133
_cell_length_c 7.472
_cell_angle_alpha 90.00
_cell_angle_beta 108.56
_cell_angle_gamma 90.00
_space_group_name_H-M_alt 'P 1 2/m 1'
_space_group_IT_number 10
_space_group_name_Hall '-P 2y'
loop_
_atom_site_label
_atom_site_fract_x
_atom_site_fract_y
_atom_site_fract_z
Ac1 0.000 0.000 0.000
Tb1 0.000 0.500 0.500
Tb2 0.500 0.000 0.500
Sm1 0.500 0.500 0.000
Se1 0.253 0.000 0.735
Se2 0.265 0.500 0.271

Record 9
# Ac4Tb3SmSe8 | Alexandria via LeMat-Bulk | PBE | optimized geometry
# **E_tot**: -5.746 eV/atom
# **Magnetic moment**: 0.0 μB per cell
# **E_form (uncorrected)**: -1.814 eV/atom
# **D(E_F)**: 8.60 states/eV/f.u.
# **Density**: 8057 kg/m³
data_Ac4Tb3SmSe8
_chemical_formula_sum 'Ac12 Tb9 Sm3 Se24'
_cell_length_a 8.4235
_cell_length_b 8.4235
_cell_length_c 21.8024
_cell_angle_alpha 90.00
_cell_angle_beta 90.00
_cell_angle_gamma 120.00
_space_group_name_H-M_alt 'R -3 m'
_space_group_IT_number 166
_space_group_name_Hall '-R 3 2"'
loop_
_atom_site_label
_atom_site_fract_x
_atom_site_fract_y
_atom_site_fract_z
Ac1 0.0000 0.0000 0.0000
Ac2 0.0000 0.5000 0.0000
Tb1 0.0000 0.5000 0.5000
Sm1 0.0000 0.0000 0.5000
Se1 0.0000 0.0000 0.2404
Se2 0.0036 0.5018 0.7588

Record 10
# Ac3Tb2SmSe6 | Alexandria via LeMat-Bulk | PBE | optimized geometry
# **E_tot**: -5.755 eV/atom
# **Magnetic moment**: 0.0 μB per cell
# **E_form (uncorrected)**: -1.821 eV/atom
# **D(E_F)**: 5.38 states/eV/f.u.
# **Density**: 8033 kg/m³
data_Ac3Tb2SmSe6
_chemical_formula_sum 'Ac6 Tb4 Sm2 Se12'
_cell_length_a 7.295
_cell_length_b 12.677
_cell_length_c 7.657
_cell_angle_alpha 90.00
_cell_angle_beta 108.64
_cell_angle_gamma 90.00
_space_group_name_H-M_alt 'C 1 2/m 1'
_space_group_IT_number 12
_space_group_name_Hall '-C 2y'
loop_
_atom_site_label
_atom_site_fract_x
_atom_site_fract_y
_atom_site_fract_z
Ac1 0.000 0.000 0.000
Ac2 0.000 0.335 0.000
Tb1 0.000 0.167 0.500
Sm1 0.000 0.500 0.500
Se1 0.236 0.000 0.723
Se2 0.244 0.331 0.725

Record 11
# AcTb2SmSe6 | Alexandria via LeMat-Bulk | PBE | optimized geometry
# **E_tot**: -5.782 eV/atom
# **Magnetic moment**: 0.0 μB per cell
# **E_form (uncorrected)**: -1.882 eV/atom
# **D(E_F)**: 0.00 states/eV/f.u.
# **Density**: 6172 kg/m³
data_AcTb2SmSe6
_chemical_formula_sum 'Ac3 Tb6 Sm3 Se18'
_cell_length_a 7.4496
_cell_length_b 7.4496
_cell_length_c 19.6316
_cell_angle_alpha 90.00
_cell_angle_beta 90.00
_cell_angle_gamma 120.00
_space_group_name_H-M_alt 'R 3'
_space_group_IT_number 146
_space_group_name_Hall 'R 3'
loop_
_atom_site_label
_atom_site_fract_x
_atom_site_fract_y
_atom_site_fract_z
Ac1 0.0000 0.0000 0.0000
Tb1 0.0000 0.0000 0.2884
Tb2 0.0000 0.0000 0.7937
Sm1 0.0000 0.0000 0.4900
Se1 0.0123 0.3116 0.8866
Se2 0.0220 0.6244 0.0534